# K2CaAl GGA-PBE optimized geometry
data_K2CaAl
_cell_length_a 6.869
_cell_length_b 13.411
_cell_length_c 4.012
_cell_angle_alpha 90.00
_cell_angle_beta 120.99
_cell_angle_gamma 90.00
_symmetry_space_group_name_H-M 'C 1 2/m 1'
_symmetry_Int_Tables_number 12
loop_
_symmetry_equiv_pos_as_xyz
'x,y,z'
'-x,-y,-z'
'-x,y,-z'
'x,-y,z'
'x+1/2,y+1/2,z'
'-x+1/2,-y+1/2,-z'
'-x+1/2,y+1/2,-z'
'x+1/2,-y+1/2,z'
loop_
_atom_site_label
_atom_site_type_symbol
_atom_site_fract_x
_atom_site_fract_y
_atom_site_fract_z
K1 K 0.250 0.250 0.000
Ca1 Ca 0.000 0.000 0.500
Al1 Al 0.000 0.500 0.500
# calculated formation energy: 0.331 eV per atom

---

# ScTa2 GGA-PBE optimized geometry
data_ScTa2
_cell_length_a 4.8362
_cell_length_b 4.8362
_cell_length_c 5.7297
_cell_angle_alpha 90.00
_cell_angle_beta 90.00
_cell_angle_gamma 120.00
_symmetry_space_group_name_H-M 'P 63/m m c'
_symmetry_Int_Tables_number 194
_symmetry_space_group_name_Hall '-P 6c 2c'
loop_
_atom_site_label
_atom_site_type_symbol
_atom_site_fract_x
_atom_site_fract_y
_atom_site_fract_z
Sc1 Sc 0.3333 0.6667 0.2500
Ta1 Ta 0.0000 0.0000 0.0000
Ta2 Ta 0.3333 0.6667 0.7500
# calculated formation energy: 0.315 eV per atom

---

# Tb6Pr3Y2 GGA-PBE optimized geometry
data_Tb6Pr3Y2
_cell_length_a 4.791
_cell_length_b 4.791
_cell_length_c 33.610
_cell_angle_alpha 90.00
_cell_angle_beta 90.00
_cell_angle_gamma 90.00
_symmetry_space_group_name_H-M 'I 4/m m m'
_symmetry_Int_Tables_number 139
_symmetry_space_group_name_Hall '-I 4 2'
loop_
_atom_site_label
_atom_site_type_symbol
_atom_site_fract_x
_atom_site_fract_y
_atom_site_fract_z
Tb1 Tb 0.000 0.000 0.193
Tb2 Tb 0.000 0.500 0.121
Pr1 Pr 0.000 0.000 0.296
Pr2 Pr 0.000 0.000 0.500
Y1 Y 0.000 0.000 0.046
# calculated formation energy: 0.271 eV per atom

---

# CoTcNi2Ru GGA-PBE optimized geometry
data_CoTcNi2Ru
_cell_length_a 4.458
_cell_length_b 4.458
_cell_length_c 4.549
_cell_angle_alpha 90.00
_cell_angle_beta 90.00
_cell_angle_gamma 90.00
_symmetry_space_group_name_H-M 'P 4/m m m'
_symmetry_Int_Tables_number 123
_symmetry_space_group_name_Hall '-P 4 2'
loop_
_atom_site_label
_atom_site_type_symbol
_atom_site_fract_x
_atom_site_fract_y
_atom_site_fract_z
Co1 Co 0.000 0.000 0.000
Tc1 Tc 0.500 0.500 0.000
Ni1 Ni 0.000 0.500 0.500
Ru1 Ru 0.500 0.500 0.500
# calculated formation energy: 1.701 eV per atom

---

# K2TaNi GGA-PBE optimized geometry
data_K2TaNi
_cell_length_a 8.516
_cell_length_b 3.155
_cell_length_c 10.305
_cell_angle_alpha 90.00
_cell_angle_beta 101.86
_cell_angle_gamma 90.00
_symmetry_space_group_name_H-M 'C 1 m 1'
_symmetry_Int_Tables_number 8
loop_
_symmetry_equiv_pos_as_xyz
'x,y,z'
'x,-y,z'
'x+1/2,y+1/2,z'
'x+1/2,-y+1/2,z'
loop_
_atom_site_label
_atom_site_type_symbol
_atom_site_fract_x
_atom_site_fract_y
_atom_site_fract_z
K1 K 0.000 0.000 0.000
K2 K 0.141 0.000 0.566
Ta1 Ta 0.339 0.000 0.283
Ni1 Ni 0.123 0.500 0.283
# calculated formation energy: 0.722 eV per atom

---

# BiPRuO2 GGA-PBE optimized geometry
data_BiPRuO2
_cell_length_a 3.949
_cell_length_b 3.949
_cell_length_c 5.000
_cell_angle_alpha 90.00
_cell_angle_beta 90.00
_cell_angle_gamma 90.00
_symmetry_space_group_name_H-M 'P 4/m m m'
_symmetry_Int_Tables_number 123
_symmetry_space_group_name_Hall '-P 4 2'
loop_
_atom_site_label
_atom_site_type_symbol
_atom_site_fract_x
_atom_site_fract_y
_atom_site_fract_z
Bi1 Bi 0.000 0.000 0.000
P1 P 0.500 0.500 0.000
Ru1 Ru 0.500 0.500 0.500
O1 O 0.000 0.500 0.500
# formation energy without anion corrections: -0.251 eV/atom

---

# LaB6Mo2 GGA-PBE optimized geometry
data_LaB6Mo2
_cell_length_a 3.198
_cell_length_b 7.050
_cell_length_c 8.624
_cell_angle_alpha 90.00
_cell_angle_beta 90.00
_cell_angle_gamma 90.00
_symmetry_space_group_name_H-M 'I m m m'
_symmetry_Int_Tables_number 71
_symmetry_space_group_name_Hall '-I 2 2'
loop_
_atom_site_label
_atom_site_type_symbol
_atom_site_fract_x
_atom_site_fract_y
_atom_site_fract_z
La1 La 0.000 0.000 0.000
B1 B 0.000 0.156 0.500
B2 B 0.000 0.237 0.305
Mo1 Mo 0.000 0.500 0.155
# calculated formation energy: -0.486 eV per atom

---

# DyTm2Cd4 GGA-PBE optimized geometry
data_DyTm2Cd4
_cell_length_a 5.282
_cell_length_b 5.282
_cell_length_c 13.732
_cell_angle_alpha 90.00
_cell_angle_beta 90.00
_cell_angle_gamma 90.00
_symmetry_space_group_name_H-M 'I 4/m m m'
_symmetry_Int_Tables_number 139
_symmetry_space_group_name_Hall '-I 4 2'
loop_
_atom_site_label
_atom_site_type_symbol
_atom_site_fract_x
_atom_site_fract_y
_atom_site_fract_z
Dy1 Dy 0.000 0.000 0.000
Tm1 Tm 0.000 0.000 0.257
Cd1 Cd 0.000 0.500 0.117
# calculated formation energy: -0.145 eV per atom

---

# Hf6Tc5Pt GGA-PBE optimized geometry
data_Hf6Tc5Pt
_cell_length_a 4.620
_cell_length_b 6.526
_cell_length_c 13.874
_cell_angle_alpha 90.00
_cell_angle_beta 90.00
_cell_angle_gamma 90.00
_symmetry_space_group_name_H-M 'I m m m'
_symmetry_Int_Tables_number 71
_symmetry_space_group_name_Hall '-I 2 2'
loop_
_atom_site_label
_atom_site_type_symbol
_atom_site_fract_x
_atom_site_fract_y
_atom_site_fract_z
Hf1 Hf 0.000 0.243 0.000
Hf2 Hf 0.000 0.253 0.331
Tc1 Tc 0.000 0.000 0.167
Tc2 Tc 0.000 0.500 0.165
Tc3 Tc 0.000 0.500 0.500
Pt1 Pt 0.000 0.000 0.500
# calculated formation energy: -0.642 eV per atom

---

# PmB2Rh2C GGA-PBE optimized geometry
data_PmB2Rh2C
_cell_length_a 3.851
_cell_length_b 3.851
_cell_length_c 10.340
_cell_angle_alpha 90.00
_cell_angle_beta 90.00
_cell_angle_gamma 90.00
_symmetry_space_group_name_H-M 'I 4/m m m'
_symmetry_Int_Tables_number 139
_symmetry_space_group_name_Hall '-I 4 2'
loop_
_atom_site_label
_atom_site_type_symbol
_atom_site_fract_x
_atom_site_fract_y
_atom_site_fract_z
Pm1 Pm 0.000 0.000 0.000
B1 B 0.000 0.000 0.355
Rh1 Rh 0.000 0.500 0.250
C1 C 0.000 0.000 0.500
# calculated formation energy: -0.589 eV per atom

---

| no. | volume (Å³/atom) | uncorrected energy (eV per atom) |
| --- | --- | --- |
| 1 | 39.61 | -1.654 |
| 2 | 19.34 | -9.697 |
| 3 | 35.07 | -4.733 |
| 4 | 18.09 | -5.961 |
| 5 | 33.87 | -4.236 |
| 6 | 15.59 | -5.948 |
| 7 | 10.80 | -7.892 |
| 8 | 27.36 | -2.603 |
| 9 | 17.43 | -10.441 |
| 10 | 12.78 | -7.595 |